YNpN: relaxed, PBE.

Structure (POSCAR):
```
YNpN
1.0
-3.462 -0.228 0.143
0.117 -2.943 -1.840
0.673 -5.087 8.180
Np Y N
2 2 2
Direct
0.000 0.000 0.000 Np
0.500 0.500 0.000 Np
0.000 0.500 0.625 Y
0.500 0.000 0.375 Y
0.000 0.500 0.386 N
0.500 0.000 0.614 N
```

Properties
The calculation puts the calculated total energy at -9.71 eV/atom. Its energy relative to the elements, uncorrected is -463.2 meV/atom. The relative energy among the computed polymorphs comes out at 0.000 eV/atom. As for the space group: P4/nmm.